No. 1
VASP calculation (GGA-PBEsol) on La2Pt2O7 after structural relaxation.

Computed properties:
Energy relative to the lowest polymorph listed for this composition, meV/atom: 0
Energy relative to the elements, uncorrected, eV/atom: -1.959

Lattice parameters (Å, degrees): 10.480 10.480 10.480 90.00 90.00 90.00
Space group Fd-3m (No. 227, origin choice 2)
Asymmetric unit:
1 La 0.000 0.000 0.000
2 Pt 0.000 0.000 0.500
3 O 0.082 0.375 0.875
4 O 0.125 0.125 0.125

No. 2
VASP calculation (GGA-PBEsol) on FeMoPt2 after structural relaxation.

Computed properties:
Density of states at the Fermi level, states/eV/cell: 7.4
Energy of formation, eV/atom: -0.18

Lattice parameters (Å, degrees): 3.830 3.830 7.616 90.00 90.00 90.00
Space group I-4m2 (No. 119)
Asymmetric unit:
1 Fe 0.000 0.000 0.000
2 Mo 0.000 0.500 0.750
3 Pt 0.000 0.000 0.500
4 Pt 0.000 0.500 0.250

No. 3
VASP calculation (GGA-PBEsol) on ZnFeMo2 after structural relaxation.

Computed properties:
Density of states at the Fermi level, states/eV/cell: 6.7
Energy of formation, eV/atom: 0.19

Lattice parameters (Å, degrees): 5.194 8.014 2.599 90.00 90.00 90.00
Space group Cmmm (No. 65)
Asymmetric unit:
1 Zn 0.000 0.000 0.000
2 Fe 0.000 0.500 0.000
3 Mo 0.250 0.250 0.500

No. 4
VASP calculation (GGA-PBEsol) on MnNbCo2W after structural relaxation.

Computed properties:
Density of states at the Fermi level, states/eV/cell: 5.5
Energy of formation, eV/atom: 1.66

Lattice parameters (Å, degrees): 4.379 4.379 4.805 90.00 90.00 90.00
Space group P4/mmm (No. 123)
Asymmetric unit:
1 Mn 0.000 0.000 0.000
2 Nb 0.500 0.500 0.000
3 Co 0.000 0.500 0.500
4 W 0.500 0.500 0.500

Spin magnetization
In order: 0.0 1.6 1.5 2.3
Unit: μB per formula unit